The following is a DFT calculation (GGA-PBE) of a geometry-optimized MgReIr3 structure.

POSCAR file:
```
MgReIr3
1.0
4.402 0.000 0.000
0.000 4.402 0.000
0.000 0.000 4.402
Mg Re Ir
1 1 3
Direct
0.000 0.000 0.000
0.500 0.500 0.500
0.000 0.000 0.500
0.000 0.500 0.000
0.500 0.000 0.000
```

Results
Electronic total energy = -6.231 eV per atom
Offset from the most stable computed form = 61.4 kJ per mole of atoms
ΔH_f (0 K) = 9.47 eV/f.u.
SG = No. 221

The following is a DFT calculation (GGA-PBE) of a geometry-optimized CsRbZnHSe structure.

POSCAR file:
```
CsRbZnHSe
1.0
5.740 0.000 0.000
0.000 4.420 0.000
-2.746 0.000 6.281
Cs Rb Zn H Se
1 1 1 1 1
Direct
0.000 0.000 0.000
0.281 0.500 0.573
0.677 0.000 0.387
0.987 0.000 0.548
0.573 0.500 0.163
```

Results
Electronic total energy = -2.443 eV per atom
Offset from the most stable computed form = 0.5 kJ per mole of atoms
SG = No. 6

The following is a DFT calculation (GGA-PBE) of a geometry-optimized RbCd6Ag structure.

POSCAR file:
```
RbCd6Ag
1.0
4.863 0.000 0.000
0.000 4.863 0.000
0.000 0.000 9.536
Rb Cd Ag
1 6 1
Direct
0.000 0.000 0.000
0.000 0.500 0.336
0.000 0.500 0.664
0.500 0.000 0.336
0.500 0.000 0.664
0.500 0.500 0.152
0.500 0.500 0.848
0.000 0.000 0.500
```

Results
Electronic total energy = -1.181 eV per atom
Offset from the most stable computed form = 0.0 kJ per mole of atoms
ΔH_f (0 K) = -0.14 eV/f.u.
SG = No. 123

The following is a DFT calculation (GGA-PBE) of a geometry-optimized Ti6CoTc5 structure.

POSCAR file:
```
Ti6CoTc5
1.0
-2.180 3.077 6.560
2.180 -3.077 6.560
2.180 3.077 -6.560
Ti Co Tc
6 1 5
Direct
0.084 0.334 0.750
0.249 0.000 0.249
0.416 0.666 0.750
0.584 0.334 0.250
0.751 0.000 0.751
0.916 0.666 0.250
0.000 0.500 0.500
0.164 0.164 0.000
0.333 0.833 0.500
0.500 0.500 0.000
0.667 0.167 0.500
0.836 0.836 0.000
```

Results
Electronic total energy = -9.358 eV per atom
ΔH_f (0 K) = -5.99 eV/f.u.
SG = No. 71

The following is a DFT calculation (GGA-PBE) of a geometry-optimized ZrNiAu structure.

POSCAR file:
```
ZrNiAu
1.0
4.418 0.000 0.000
-2.209 3.826 0.000
0.000 0.000 3.059
Zr Ni Au
1 1 1
Direct
0.000 0.000 0.000
0.333 0.667 0.498
0.667 0.333 0.500
```

Results
Electronic total energy = -6.210 eV per atom
Offset from the most stable computed form = 15.7 kJ per mole of atoms
ΔH_f (0 K) = -1.02 eV/f.u.
SG = No. 156

The following is a DFT calculation (GGA-PBE) of a geometry-optimized AcTb3 structure.

POSCAR file:
```
AcTb3
1.0
0.000 4.129 4.129
4.129 0.000 4.129
4.129 4.129 0.000
Ac Tb
1 3
Direct
0.000 0.000 0.000
0.250 0.250 0.250
0.500 0.500 0.500
0.750 0.750 0.750
```

Results
Electronic total energy = -4.357 eV per atom
ΔH_f (0 K) = 0.57 eV/f.u.
SG = No. 225

The following is a DFT calculation (GGA-PBE) of a geometry-optimized CaNdS2 structure.

POSCAR file:
```
CaNdS2
1.0
3.992 0.000 0.000
-1.996 3.457 0.000
0.000 0.000 13.749
Ca Nd S
2 2 4
Direct
0.333 0.667 0.250
0.667 0.333 0.750
0.000 0.000 0.000
0.000 0.000 0.500
0.333 0.667 0.625
0.333 0.667 0.875
0.667 0.333 0.125
0.667 0.333 0.375
```

Results
Formation energy (no corrections) = -8.01 eV per formula unit
Electronic total energy = -5.760 eV per atom
Offset from the most stable computed form = 5.3 kJ per mole of atoms
SG = No. 194

The following is a DFT calculation (GGA-PBE) of a geometry-optimized CeDy4Pd15 structure.

POSCAR file:
```
CeDy4Pd15
1.0
4.125 0.000 0.000
0.000 4.125 0.000
0.000 0.000 20.647
Ce Dy Pd
1 4 15
Direct
0.000 0.000 0.000
0.000 0.000 0.202
0.000 0.000 0.400
0.000 0.000 0.600
0.000 0.000 0.798
0.000 0.500 0.099
0.000 0.500 0.300
0.000 0.500 0.500
0.000 0.500 0.700
0.000 0.500 0.901
0.500 0.000 0.099
0.500 0.000 0.300
0.500 0.000 0.500
0.500 0.000 0.700
0.500 0.000 0.901
0.500 0.500 0.000
0.500 0.500 0.200
0.500 0.500 0.400
0.500 0.500 0.600
0.500 0.500 0.800
```

Results
Electronic total energy = -5.994 eV per atom
ΔH_f (0 K) = -17.65 eV/f.u.
SG = No. 123

The following is a DFT calculation (GGA-PBE) of a geometry-optimized Cs2PmSe4 structure.

POSCAR file:
```
Cs2PmSe4
1.0
3.071 -9.457 0.000
3.071 9.457 0.000
0.000 0.000 4.654
Cs Pm Se
2 1 4
Direct
0.188 0.812 0.000
0.812 0.188 0.000
0.500 0.500 0.500
0.061 0.939 0.500
0.398 0.602 0.000
0.602 0.398 0.000
0.939 0.061 0.500
```

Results
Formation energy (no corrections) = -6.72 eV per formula unit
Electronic total energy = -3.874 eV per atom
SG = No. 65

The following is a DFT calculation (GGA-PBE) of a geometry-optimized Pm2HoMg2 structure.

POSCAR file:
```
Pm2HoMg2
1.0
-2.620 3.507 4.118
2.620 -3.507 4.118
2.620 3.507 -4.118
Pm Ho Mg
2 1 2
Direct
0.195 0.195 0.000
0.805 0.805 0.000
0.500 0.000 0.500
0.209 0.500 0.709
0.791 0.500 0.291
```

Results
Electronic total energy = -3.410 eV per atom
Offset from the most stable computed form = 10.7 kJ per mole of atoms
ΔH_f (0 K) = 0.22 eV/f.u.
SG = No. 71

The following is a DFT calculation (GGA-PBE) of a geometry-optimized Pm4AsAuS2 structure.

POSCAR file:
```
Pm4AsAuS2
1.0
7.163 0.000 0.000
0.000 4.114 0.000
-2.345 0.000 6.873
Pm As Au S
4 1 1 2
Direct
0.239 0.000 0.234
0.246 0.500 0.760
0.754 0.500 0.240
0.761 0.000 0.766
0.000 0.000 0.500
0.500 0.500 0.500
0.000 0.500 0.000
0.500 0.000 0.000
```

Results
Formation energy (no corrections) = -12.51 eV per formula unit
Electronic total energy = -5.961 eV per atom
SG = No. 10

The following is a DFT calculation (GGA-PBE) of a geometry-optimized Cd5InHg structure.

POSCAR file:
```
Cd5InHg
1.0
3.251 -4.071 0.000
3.251 4.071 0.000
-1.781 0.000 13.215
Cd In Hg
10 2 2
Direct
0.088 0.287 0.054
0.134 0.866 0.750
0.287 0.088 0.554
0.344 0.448 0.859
0.448 0.344 0.359
0.552 0.656 0.641
0.656 0.552 0.141
0.713 0.912 0.446
0.866 0.134 0.250
0.912 0.713 0.946
0.240 0.760 0.250
0.760 0.240 0.750
0.000 0.500 0.500
0.500 0.000 0.000
```

Results
Electronic total energy = -1.050 eV per atom
Offset from the most stable computed form = 0.0 kJ per mole of atoms
ΔH_f (0 K) = 0.27 eV/f.u.
SG = No. 15